BaAcTlBi | PBE-GGA | optimized geometry

**SG**: F-43m (216)
**Formation energy from the elements**: -504 meV/atom

Lattice parameters (Å, degrees): 5.9812 5.9812 5.9812 60.00 60.00 60.00
Last column: nearest neighbours and their distance in Å.
Positions (direct):
Ba 0.7500 0.7500 0.7500  4 Tl 3.66, 4 Bi 3.66
Ac 0.2500 0.2500 0.2500  4 Bi 3.66, 4 Tl 3.66
Bi 0.5000 0.5000 0.5000  4 Ba 3.66, 4 Ac 3.66
Tl 0.0000 0.0000 0.0000  4 Ac 3.66, 4 Ba 3.66

***

NbPt2Rh4 | PBE-GGA | optimized geometry

**Energy above the lowest structure with this stoichiometry**: 167 meV per atom
**SG**: P1 (1)
**Formation energy from the elements**: -142 meV/atom

Lattice parameters (Å, degrees): 6.8988 6.9069 6.9403 123.45 122.62 84.54
Last column: nearest neighbours and their distance in Å.
Positions (direct):
Rh 0.3788 0.6231 0.3487  2 Nb 2.62-2.76, 5 Rh 2.63-2.84, 3 Pt 2.74-2.85
Rh 0.0194 0.1110 0.2669  6 Rh 2.63-2.79, 3 Pt 2.67-2.78, 2 Nb 2.67-2.73
Rh 0.8436 0.7524 0.7333  6 Rh 2.63-2.81, 3 Pt 2.67-2.79, 2 Nb 2.67-2.73
Rh 0.7299 0.1911 0.8705  1 Nb 2.62, 4 Rh 2.63-2.81, 3 Pt 2.65-2.80
Rh 0.5509 0.8289 0.9169  1 Nb 2.63, 6 Rh 2.64-2.84, 3 Pt 2.65-2.72
Rh 0.3186 0.8586 0.1298  1 Nb 2.62, 4 Rh 2.64-2.79, 3 Pt 2.65-2.80
Rh 0.2747 0.0297 0.6508  2 Nb 2.62-2.76, 5 Rh 2.63-2.83, 3 Pt 2.75-2.84
Rh 0.9136 0.6364 0.0852  6 Rh 2.63-2.83, 1 Nb 2.64, 3 Pt 2.65-2.72
Pt 0.4812 0.3564 0.5691  6 Rh 2.65-2.82, 2 Nb 2.75-2.95, 1 Pt 2.86
Pt 0.7860 0.9097 0.4303  6 Rh 2.65-2.82, 2 Nb 2.75-2.95, 1 Pt 2.86
Pt 0.0585 0.3951 0.7524  6 Rh 2.65-2.85, 2 Nb 2.77-2.85, 2 Pt 2.84-2.86
Pt 0.6429 0.3067 0.2462  6 Rh 2.65-2.84, 2 Nb 2.77-2.84, 2 Pt 2.84-2.86
Nb 0.1589 0.1584 0.9997  6 Rh 2.62-2.67, 4 Pt 2.75-2.77
Nb 0.0930 0.5927 0.5003  6 Rh 2.63-2.76, 3 Pt 2.84-2.95

***

Er3SnSe2 | PBE-GGA | optimized geometry

**SG**: Immm (71)

Lattice parameters (Å, degrees): 4.1756 5.8965 7.1901 114.21 106.86 90.00
Last column: nearest neighbours and their distance in Å.
Positions (direct):
Er 0.8290 0.8290 0.6580  4 Se 2.91-2.95, 2 Sn 2.98
Er 0.5000 0.5000 0.0000  4 Se 2.93, 2 Sn 2.95
Er 0.1710 0.1710 0.3420  4 Se 2.91-2.95, 2 Sn 2.98
Se 0.8340 0.3344 0.6687  6 Er 2.91-2.95
Se 0.1660 0.6656 0.3313  6 Er 2.91-2.95
Sn 0.5000 0.0000 0.0000  6 Er 2.95-2.98

***

Number 1: M_tot 0.00 μB per formula unit, total energy -0.131 hartree per atom. Number 2: M_tot 0.00 μB per formula unit, total energy -0.276 hartree per atom. Number 3: M_tot 0.00 μB per formula unit, total energy -0.202 hartree per atom.